10
Lattice="-3.2810 7.1462 2.8918 -7.2677 -1.8190 -3.7506 -0.9133 -1.4127 2.4549" Properties=species:S:1:pos:R:3 comment="Na2CoSe2 (PBE, optimized geometry)" raw_formation_energy_ev_per_atom=0.02 spacegroup="P4/mbm, No. 127" n_ef_per_ev_cell=8.76 e_tot_ev_per_atom=-3.324 magmom_total_mub_per_fu=2.21 pbc="T T T"
Co 0.0000 0.0000 0.0000
Se -5.4939 4.5821 2.3968
Se -8.6552 2.6434 0.1050
Na -7.4078 5.1282 0.1952
Co -5.2743 2.6636 -0.4294
Na -2.9448 4.2317 1.3397
Na -3.1409 0.1990 -1.0540
Se -2.8068 1.2710 1.4910
Na -7.6039 1.0954 -2.1986
Se -5.9681 -0.6677 -0.8007

5
Lattice="4.9164 0.0000 0.0000 0.0000 5.2031 0.0000 0.0000 0.0000 4.9164" Properties=species:S:1:pos:R:3 comment="MgGa2GeAs (PBE, optimized geometry)" delta_e_f_kj_per_mol_atoms=37.2 spacegroup="P4/mmm, No. 123" n_ef_per_ev_cell=3.29 e_tot_ev_per_atom=-2.998 magmom_total_mub_per_fu=0.00 pbc="T T T"
Ga 2.4582 0.0000 0.0000
Mg 2.4582 2.6016 2.4582
Ga 0.0000 0.0000 2.4582
As 0.0000 2.6016 0.0000
Ge 0.0000 0.0000 0.0000